No. 1
# K2HgRh, optimized geometry, DFT PBE
# **ΔH_f (0 K)**: 0.33 eV per atom
data_K2HgRh
_chemical_formula_sum 'K4 Hg2 Rh2'
_cell_length_a 5.278
_cell_length_b 5.278
_cell_length_c 7.498
_cell_angle_alpha 90.00
_cell_angle_beta 90.00
_cell_angle_gamma 90.00
_space_group_name_H-M_alt 'I -4 m 2'
_space_group_IT_number 119
_space_group_name_Hall 'I -4 -2'
loop_
_atom_site_label
_atom_site_fract_x
_atom_site_fract_y
_atom_site_fract_z
K1 0.000 0.000 0.000
K2 0.000 0.500 0.250
Hg1 0.000 0.000 0.500
Rh1 0.000 0.500 0.750


No. 2
# BaCoCl3, optimized geometry, DFT PBE
# **ΔE_f (raw)**: -0.633 eV/atom
# **Excess energy over the best structure of this formula in the dataset**: 744 meV/atom
data_BaCoCl3
_chemical_formula_sum 'Ba1 Co1 Cl3'
_cell_length_a 5.970
_cell_length_b 5.970
_cell_length_c 5.970
_cell_angle_alpha 90.00
_cell_angle_beta 90.00
_cell_angle_gamma 90.00
_space_group_name_H-M_alt 'P m -3 m'
_space_group_IT_number 221
_space_group_name_Hall '-P 4 2 3'
loop_
_atom_site_label
_atom_site_fract_x
_atom_site_fract_y
_atom_site_fract_z
Ba1 0.000 0.000 0.000
Co1 0.500 0.500 0.500
Cl1 0.000 0.000 0.500


No. 3
# LiTl2P2O6, optimized geometry, DFT PBE
# **ΔE_f (raw)**: -1.676 eV/atom
data_LiTl2P2O6
_chemical_formula_sum 'Li3 Tl6 P6 O18'
_cell_length_a 5.8859
_cell_length_b 5.8859
_cell_length_c 16.8009
_cell_angle_alpha 90.00
_cell_angle_beta 90.00
_cell_angle_gamma 120.00
_space_group_name_H-M_alt 'R -3 m'
_space_group_IT_number 166
_space_group_name_Hall '-R 3 2"'
loop_
_atom_site_label
_atom_site_fract_x
_atom_site_fract_y
_atom_site_fract_z
Li1 0.0000 0.0000 0.0000
Tl1 0.0000 0.0000 0.2224
P1 0.0000 0.0000 0.4272
O1 0.0390 0.5195 0.2565


No. 4
# ErHf2ReC4, optimized geometry, DFT PBE
# **ΔH_f (0 K)**: -0.37 eV per atom
data_ErHf2ReC4
_chemical_formula_sum 'Er4 Hf8 Re4 C16'
_cell_length_a 3.290
_cell_length_b 11.529
_cell_length_c 11.558
_cell_angle_alpha 90.00
_cell_angle_beta 90.00
_cell_angle_gamma 90.00
_space_group_name_H-M_alt 'C m c m'
_space_group_IT_number 63
_space_group_name_Hall '-C 2c 2'
loop_
_atom_site_label
_atom_site_fract_x
_atom_site_fract_y
_atom_site_fract_z
Er1 0.000 0.106 0.250
Hf1 0.000 0.370 0.037
Re1 0.000 0.158 0.750
C1 0.000 0.000 0.000
C2 0.000 0.262 0.619
C3 0.000 0.445 0.250


No. 5
# Cd2SiOs, optimized geometry, DFT PBE
# **ΔE_f (raw)**: 0.565 eV/atom
data_Cd2SiOs
_chemical_formula_sum 'Cd6 Si3 Os3'
_cell_length_a 2.8340
_cell_length_b 2.8340
_cell_length_c 31.0143
_cell_angle_alpha 90.00
_cell_angle_beta 90.00
_cell_angle_gamma 120.00
_space_group_name_H-M_alt 'R -3 m'
_space_group_IT_number 166
_space_group_name_Hall '-R 3 2"'
loop_
_atom_site_label
_atom_site_fract_x
_atom_site_fract_y
_atom_site_fract_z
Cd1 0.0000 0.0000 0.2454
Si1 0.0000 0.0000 0.0000
Os1 0.0000 0.0000 0.5000


No. 6
# BaAcAg2S4, optimized geometry, DFT PBE
# **ΔE_f (raw)**: -1.185 eV/atom
data_BaAcAg2S4
_chemical_formula_sum 'Ba2 Ac2 Ag4 S8'
_cell_length_a 7.137
_cell_length_b 7.137
_cell_length_c 8.047
_cell_angle_alpha 90.00
_cell_angle_beta 90.00
_cell_angle_gamma 90.00
_space_group_name_H-M_alt 'I -4 2 m'
_space_group_IT_number 121
_space_group_name_Hall 'I -4 2'
loop_
_atom_site_label
_atom_site_fract_x
_atom_site_fract_y
_atom_site_fract_z
Ba1 0.000 0.000 0.000
Ac1 0.000 0.000 0.500
Ag1 0.000 0.500 0.250
S1 0.239 0.239 0.738